Record 1
Entry from Alexandria: LaTl2Au after structural relaxation (PBE-GGA).

a b c (Å): 4.8983 4.8983 15.6020
angles (deg): 90.00 90.00 120.00
Space group R-3m (No. 166, hexagonal axes)
Asymmetric unit:
La: 0.0000 0.0000 0.0000 [3 per cell]
Tl: 0.0000 0.0000 0.2294 [6 per cell]
Au: 0.0000 0.0000 0.5000 [3 per cell]

total magnetization: 0.000 μB per atom
formation energy from the elements: -0.3294 eV/atom

=====

Record 2
Entry from Alexandria: Li2CaTl2 after structural relaxation (PBE-GGA).

a b c (Å): 4.1478 4.1478 14.3808
angles (deg): 90.00 90.00 90.00
Space group I4/mmm (No. 139)
Asymmetric unit:
Li: 0.0000 0.5000 0.2500 [4 per cell]
Ca: 0.0000 0.0000 0.0000 [2 per cell]
Tl: 0.0000 0.0000 0.3889 [4 per cell]

total magnetization: 0.000 μB per atom
formation energy from the elements: -0.2499 eV/atom

=====

Record 3
Entry from Alexandria: LiMn2Co2 after structural relaxation (PBE-GGA).

a b c (Å): 3.7876 3.7876 9.4139
angles (deg): 90.00 90.00 90.00
Space group I4/mmm (No. 139)
Asymmetric unit:
Li: 0.0000 0.0000 0.0000 [2 per cell]
Mn: 0.0000 0.5000 0.2500 [4 per cell]
Co: 0.0000 0.0000 0.3870 [4 per cell]

total magnetization: 0.888 μB per atom
formation energy from the elements: 0.4253 eV/atom

=====

Record 4
Entry from Alexandria: Ca2AgBi2 after structural relaxation (PBE-GGA).

a b c (Å): 6.2781 6.2781 9.0349
angles (deg): 90.00 90.00 90.00
Space group I4/mmm (No. 139)
Asymmetric unit:
Ca: 0.0000 0.5000 0.2500 [4 per cell]
Ag: 0.0000 0.0000 0.0000 [2 per cell]
Bi: 0.0000 0.0000 0.3202 [4 per cell]

total magnetization: 0.000 μB per atom
formation energy from the elements: -0.3229 eV/atom

=====

Record 5
Entry from Alexandria: La2ReTe after structural relaxation (PBE-GGA).

a b c (Å): 4.2971 4.2971 23.2249
angles (deg): 90.00 90.00 120.00
Space group R-3m (No. 166, hexagonal axes)
Asymmetric unit:
La: 0.0000 0.0000 0.2392 [6 per cell]
Re: 0.0000 0.0000 0.5000 [3 per cell]
Te: 0.0000 0.0000 0.0000 [3 per cell]

E_form (uncorrected): -0.8 eV/f.u.
total magnetization: 0.293 μB per atom

=====

Record 6
Entry from Alexandria: Co2Te6Pd after structural relaxation (PBE-GGA).

a b c (Å): 6.7701 6.7701 5.3806
angles (deg): 90.00 90.00 120.00
Space group P-31m (No. 162)
Asymmetric unit:
Co: 0.3333 0.6667 0.0000 [2 per cell]
Te: 0.0000 0.3515 0.2449 [6 per cell]
Pd: 0.0000 0.0000 0.0000 [1 per cell]

E_form (uncorrected): -2.2 eV/f.u.
total magnetization: 0.000 μB per atom

=====

Record 7
Entry from Alexandria: TbZr4PaN8 after structural relaxation (PBE-GGA).

a b c (Å): 6.6133 6.6133 16.3225
angles (deg): 90.00 90.00 120.00
Space group R3m (No. 160, hexagonal axes)
Asymmetric unit:
Tb: 0.0000 0.0000 0.0000 [3 per cell]
Zr: 0.0000 0.0000 0.6238 [3 per cell]
Zr: 0.1669 0.3338 0.8351 [9 per cell]
Pa: 0.0000 0.0000 0.3830 [3 per cell]
N: 0.0000 0.0000 0.2425 [3 per cell]
N: 0.0000 0.0000 0.7569 [3 per cell]
N: 0.0231 0.5116 0.7575 [9 per cell]
N: 0.1705 0.3410 0.5745 [9 per cell]

E_form (uncorrected): -20.2 eV/f.u.
total magnetization: 0.000 μB per atom

=====

Record 8
Entry from Alexandria: Hf2Ti2Ga5 after structural relaxation (PBE-GGA).

a b c (Å): 5.5795 15.7604 7.3959
angles (deg): 90.00 90.00 90.00
Space group Imma (No. 74)
Asymmetric unit:
Hf: 0.0000 0.0000 0.0000 [4 per cell]
Hf: 0.0000 0.2500 0.0786 [4 per cell]
Ti: 0.0000 0.0555 0.6080 [8 per cell]
Ga: 0.0000 0.2500 0.4606 [4 per cell]
Ga: 0.2500 0.1005 0.2500 [8 per cell]
Ga: 0.2500 0.1720 0.7500 [8 per cell]

total magnetization: 0.000 μB per atom
formation energy from the elements: -0.1550 eV/atom